Below is an optimized crystal structure of Np2ZnGa9, with properties calculated at the PBE-GGA level.

Results
ΔH_f (0 K): -0.10 eV/atom
Uncorrected energy: -4.631 eV per atom

Structure (extended XYZ):
```
12
Lattice="4.259 0.000 0.000 0.000 4.259 0.000 0.000 0.000 12.417" Properties=species:S:1:pos:R:3 pbc="T T T"
Np 0.000 0.000 2.183
Np 0.000 0.000 10.234
Zn 0.000 0.000 6.208
Ga 0.000 2.129 0.000
Ga 0.000 2.129 4.347
Ga 0.000 2.129 8.070
Ga 2.129 0.000 0.000
Ga 2.129 0.000 4.347
Ga 2.129 0.000 8.070
Ga 2.129 2.129 2.015
Ga 2.129 2.129 6.208
Ga 2.129 2.129 10.402
```